*one*
# AcGd2Tl

Crystalline AcGd2Tl at its relaxed geometry (PBE-GGA, Alexandria via LeMat-Bulk).

Unit cell a=5.662 b=5.662 c=5.662 alpha=60.00 beta=60.00 gamma=60.00
Site moments in Bohr magnetons follow the coordinates.
Atoms (fractional coordinates):
Ac: 0.000 0.000 0.000  0.23
Tl: 0.500 0.500 0.500  -0.01
Gd: 0.750 0.750 0.750  7.31
Gd: 0.250 0.250 0.250  7.31

## Properties
Total magnetic moment: 15.90 μB/cell
Density of states at the Fermi level: 4.79 states/eV/cell

---

*two*
# AcGd2Tl

Crystalline AcGd2Tl at its relaxed geometry (PBE-GGA, Alexandria via LeMat-Bulk).

Unit cell a=3.750 b=3.750 c=9.343 alpha=90.00 beta=90.00 gamma=90.00
Site moments in Bohr magnetons follow the coordinates.
Atoms (fractional coordinates):
Gd: 0.000 0.000 0.784  7.17
Gd: 0.000 0.000 0.216  7.17
Ac: 0.500 0.500 0.500  0.00
Tl: 0.500 0.500 0.000  -0.02

## Properties
Total magnetic moment: 14.83 μB/cell
Density of states at the Fermi level: 3.55 states/eV/cell

---

Most stable: *two*

---

*one*
# Ac2GdZn

Crystalline Ac2GdZn at its relaxed geometry (PBE-GGA, Alexandria via LeMat-Bulk).

Unit cell a=3.762 b=3.762 c=12.229 alpha=81.15 beta=81.15 gamma=60.00
Site moments in Bohr magnetons follow the coordinates.
Atoms (fractional coordinates):
Zn: 0.500 0.500 0.500  0.00
Ac: 0.099 0.099 0.702  0.03
Ac: 0.901 0.901 0.298  0.03
Gd: 0.000 0.000 0.000  7.32

## Properties
Total magnetic moment: 7.87 μB/cell
Density of states at the Fermi level: 8.67 states/eV/cell

---

*two*
# Ac2GdZn

Crystalline Ac2GdZn at its relaxed geometry (PBE-GGA, Alexandria via LeMat-Bulk).

Unit cell a=3.903 b=3.903 c=9.075 alpha=90.00 beta=90.00 gamma=90.00
Site moments in Bohr magnetons follow the coordinates.
Atoms (fractional coordinates):
Zn: 0.500 0.500 0.000  -0.01
Ac: 0.000 0.000 0.786  0.01
Ac: 0.000 0.000 0.214  0.01
Gd: 0.500 0.500 0.500  7.26

## Properties
Total magnetic moment: 7.66 μB/cell
Density of states at the Fermi level: 5.44 states/eV/cell

---

Most stable: *two*

---

*one*
# AcGdZn

Crystalline AcGdZn at its relaxed geometry (PBE-GGA, Alexandria via LeMat-Bulk).

Unit cell a=4.013 b=5.213 c=5.213 alpha=120.00 beta=90.00 gamma=90.00
Site moments in Bohr magnetons follow the coordinates.
Atoms (fractional coordinates):
Ac: 0.000 0.000 0.000  0.06
Gd: 0.500 0.667 0.333  7.20
Zn: 0.500 0.333 0.667  0.00

## Properties
Total magnetic moment: 7.67 μB/cell
Density of states at the Fermi level: 3.61 states/eV/cell

---

*two*
# AcGdZn

Crystalline AcGdZn at its relaxed geometry (PBE-GGA, Alexandria via LeMat-Bulk).

Unit cell a=3.797 b=3.797 c=6.921 alpha=105.92 beta=105.92 gamma=90.00
Site moments in Bohr magnetons follow the coordinates.
Atoms (fractional coordinates):
Zn: 0.682 0.682 0.364  -0.02
Gd: 0.302 0.302 0.604  7.21
Ac: 0.016 0.016 0.032  0.04

## Properties
Total magnetic moment: 7.59 μB/cell
Density of states at the Fermi level: 2.86 states/eV/cell

---

Most stable: *two*

---

*one*
# AcGdZr

Crystalline AcGdZr at its relaxed geometry (PBE-GGA, Alexandria via LeMat-Bulk).

Unit cell a=3.541 b=3.541 c=8.119 alpha=102.60 beta=102.60 gamma=90.00
Site moments in Bohr magnetons follow the coordinates.
Atoms (fractional coordinates):
Gd: 0.684 0.684 0.367  7.15
Ac: 0.990 0.990 0.980  0.03
Zr: 0.326 0.326 0.652  -0.08

## Properties
Total magnetic moment: 7.36 μB/cell
Density of states at the Fermi level: 4.27 states/eV/cell

---

*two*
# AcGdZr

Crystalline AcGdZr at its relaxed geometry (PBE-GGA, Alexandria via LeMat-Bulk).

Unit cell a=3.496 b=5.611 c=5.611 alpha=120.00 beta=90.00 gamma=90.00
Site moments in Bohr magnetons follow the coordinates.
Atoms (fractional coordinates):
Ac: 0.167 0.000 0.000  0.02
Gd: 0.667 0.667 0.333  7.12
Zr: 0.167 0.333 0.667  0.19

## Properties
Total magnetic moment: 7.77 μB/cell
Density of states at the Fermi level: 5.83 states/eV/cell

---

Most stable: *one*

---

*one*
# Ac3Ge2

Crystalline Ac3Ge2 at its relaxed geometry (PBE-GGA, Alexandria via LeMat-Bulk).

Unit cell a=7.851 b=7.851 c=8.723 alpha=63.26 beta=63.26 gamma=60.00
Atoms (fractional coordinates):
Ac: 0.438 0.062 0.750
Ac: 0.250 0.562 0.250
Ac: 0.750 0.438 0.750
Ac: 0.062 0.750 0.750
Ac: 0.562 0.938 0.250
Ac: 0.938 0.250 0.250
Ge: 0.657 0.657 0.029
Ge: 0.343 0.343 0.971
Ge: 0.157 0.157 0.529
Ge: 0.843 0.843 0.471

## Properties
Total magnetic moment: 0.00 μB/cell
Density of states at the Fermi level: 6.94 states/eV/cell

---

*two*
# Ac3Ge2

Crystalline Ac3Ge2 at its relaxed geometry (PBE-GGA, Alexandria via LeMat-Bulk).

Unit cell a=4.553 b=12.229 c=12.533 alpha=90.00 beta=90.00 gamma=90.00
Site moments in Bohr magnetons follow the coordinates.
Atoms (fractional coordinates):
Ac: 0.250 0.867 0.045  0.06
Ac: 0.750 0.051 0.623  0.04
Ac: 0.750 0.801 0.770  0.09
Ac: 0.750 0.699 0.270  0.09
Ac: 0.750 0.133 0.955  0.06
Ac: 0.750 0.367 0.455  0.06
Ac: 0.250 0.949 0.377  0.04
Ac: 0.250 0.633 0.545  0.06
Ac: 0.250 0.199 0.230  0.09
Ac: 0.750 0.449 0.123  0.04
Ac: 0.250 0.301 0.730  0.09
Ac: 0.250 0.551 0.877  0.04
Ge: 0.250 0.315 0.998  0.00
Ge: 0.250 0.185 0.498  0.00
Ge: 0.750 0.499 0.686  -0.01
Ge: 0.750 0.001 0.186  -0.01
Ge: 0.750 0.685 0.002  0.00
Ge: 0.250 0.501 0.314  -0.01
Ge: 0.250 0.999 0.814  -0.01
Ge: 0.750 0.815 0.502  0.00

## Properties
Total magnetic moment: 2.61 μB/cell
Density of states at the Fermi level: 16.19 states/eV/cell

---

Most stable: *two*

---

*one*
# Ac4Ge

Crystalline Ac4Ge at its relaxed geometry (PBE-GGA, Alexandria via LeMat-Bulk).

Unit cell a=6.954 b=6.833 c=9.307 alpha=90.00 beta=90.00 gamma=110.00
Atoms (fractional coordinates):
Ac: 0.257 0.026 0.901
Ac: 0.257 0.526 0.099
Ac: 0.770 0.459 0.356
Ac: 0.743 0.974 0.099
Ac: 0.743 0.474 0.901
Ac: 0.770 0.959 0.644
Ac: 0.230 0.541 0.644
Ac: 0.230 0.041 0.356
Ge: 0.500 0.750 0.376
Ge: 0.500 0.250 0.624

## Properties
Total magnetic moment: 0.00 μB/cell
Density of states at the Fermi level: 15.28 states/eV/cell

---

*two*
# Ac4Ge

Crystalline Ac4Ge at its relaxed geometry (PBE-GGA, Alexandria via LeMat-Bulk).

Unit cell a=6.121 b=6.121 c=6.121 alpha=90.00 beta=90.00 gamma=90.00
Atoms (fractional coordinates):
Ac: 0.500 0.000 0.500
Ac: 0.500 0.500 0.000
Ac: 0.000 0.500 0.500
Ac: 0.000 0.000 0.000
Ge: 0.500 0.500 0.500

## Properties
Total magnetic moment: 0.00 μB/cell
Density of states at the Fermi level: 9.07 states/eV/cell

---

Most stable: *one*

---

*one*
# Ac5Ge

Crystalline Ac5Ge at its relaxed geometry (PBE-GGA, Alexandria via LeMat-Bulk).

Unit cell a=4.197 b=6.009 c=10.041 alpha=107.41 beta=90.00 gamma=90.00
Atoms (fractional coordinates):
Ac: 0.000 0.312 0.624
Ac: 0.500 0.872 0.743
Ac: 0.000 0.688 0.376
Ac: 0.500 0.500 0.000
Ac: 0.500 0.128 0.257
Ge: 0.000 0.000 0.000

## Properties
Total magnetic moment: 0.00 μB/cell
Density of states at the Fermi level: 8.08 states/eV/cell

---

*two*
# Ac5Ge

Crystalline Ac5Ge at its relaxed geometry (PBE-GGA, Alexandria via LeMat-Bulk).

Unit cell a=4.158 b=6.993 c=9.511 alpha=67.55 beta=77.37 gamma=72.70
Atoms (fractional coordinates):
Ac: 0.000 0.500 0.500
Ac: 0.632 0.605 0.131
Ac: 0.368 0.395 0.869
Ac: 0.334 0.040 0.292
Ac: 0.666 0.960 0.708
Ge: 0.000 0.000 0.000

## Properties
Total magnetic moment: 0.00 μB/cell
Density of states at the Fermi level: 7.29 states/eV/cell

---

Most stable: *two*

---

*one*
# Ac3Ge4

Crystalline Ac3Ge4 at its relaxed geometry (PBE-GGA, Alexandria via LeMat-Bulk).

Unit cell a=4.540 b=6.211 c=15.274 alpha=90.01 beta=90.00 gamma=111.44
Atoms (fractional coordinates):
Ac: 0.323 0.646 0.597
Ac: 0.032 0.063 0.750
Ac: 0.679 0.359 0.096
Ac: 0.679 0.359 0.404
Ac: 0.323 0.646 0.904
Ac: 0.971 0.942 0.250
Ge: 0.252 0.504 0.250
Ge: 0.001 0.003 0.000
Ge: 0.750 0.500 0.750
Ge: 0.001 0.002 0.500
Ge: 0.611 0.223 0.891
Ge: 0.391 0.782 0.391
Ge: 0.611 0.223 0.610
Ge: 0.391 0.782 0.110

## Properties
Total magnetic moment: 0.00 μB/cell
Density of states at the Fermi level: 7.07 states/eV/cell

---

*two*
# Ac3Ge4

Crystalline Ac3Ge4 at its relaxed geometry (PBE-GGA, Alexandria via LeMat-Bulk).

Unit cell a=4.468 b=4.264 c=11.528 alpha=100.66 beta=101.17 gamma=90.00
Atoms (fractional coordinates):
Ac: 0.170 0.670 0.340
Ac: 0.000 0.500 0.000
Ac: 0.830 0.330 0.660
Ge: 0.580 0.080 0.159
Ge: 0.420 0.920 0.841
Ge: 0.307 0.807 0.614
Ge: 0.693 0.193 0.386

## Properties
Total magnetic moment: 0.00 μB/cell
Density of states at the Fermi level: 3.30 states/eV/cell

---

Most stable: *one*